# V3SiAg PBE relaxed
data_V3SiAg
_cell_length_a 4.729
_cell_length_b 4.729
_cell_length_c 4.729
_cell_angle_alpha 90.00
_cell_angle_beta 90.00
_cell_angle_gamma 90.00
_space_group_name_H-M_alt 'P m -3 m'
_space_group_IT_number 221
_space_group_name_Hall '-P 4 2 3'
loop_
_atom_site_label
_atom_site_type_symbol
_atom_site_fract_x
_atom_site_fract_y
_atom_site_fract_z
V1 V 0.000 0.000 0.500
Si1 Si 0.500 0.500 0.500
Ag1 Ag 0.000 0.000 0.000
# - Distance to the lowest polymorph of the same formula: 985 meV/atom
# - Formation energy (no corrections): 1.774 eV/atom



# BaBeTc2 PBE relaxed
data_BaBeTc2
_cell_length_a 4.738
_cell_length_b 4.738
_cell_length_c 17.097
_cell_angle_alpha 90.00
_cell_angle_beta 90.00
_cell_angle_gamma 90.00
_space_group_name_H-M_alt 'I 41/a m d'
_space_group_IT_number 141
loop_
_space_group_symop_operation_xyz
'x,y,z'
'-x,-y,-z'
'-y+1/4,x+3/4,z+1/4'
'y+1/4,-x+3/4,-z+1/4'
'-x+1/2,-y,z+1/2'
'x+1/2,y,-z+1/2'
'y+1/4,-x+1/4,z+3/4'
'-y+1/4,x+1/4,-z+3/4'
'x,-y,-z'
'-x,y,z'
'-y+1/4,-x+1/4,-z+3/4'
'y+1/4,x+1/4,z+3/4'
'-x+1/2,y,-z+1/2'
'x+1/2,-y,z+1/2'
'y+1/4,x+3/4,-z+1/4'
'-y+1/4,-x+3/4,z+1/4'
'x+1/2,y+1/2,z+1/2'
'-x+1/2,-y+1/2,-z+1/2'
'-y+3/4,x+1/4,z+3/4'
'y+3/4,-x+1/4,-z+3/4'
'-x,-y+1/2,z'
'x,y+1/2,-z'
'y+3/4,-x+3/4,z+1/4'
'-y+3/4,x+3/4,-z+1/4'
'x+1/2,-y+1/2,-z+1/2'
'-x+1/2,y+1/2,z+1/2'
'-y+3/4,-x+3/4,-z+1/4'
'y+3/4,x+3/4,z+1/4'
'-x,y+1/2,-z'
'x,-y+1/2,z'
'y+3/4,x+1/4,-z+3/4'
'-y+3/4,-x+1/4,z+3/4'
loop_
_atom_site_label
_atom_site_type_symbol
_atom_site_fract_x
_atom_site_fract_y
_atom_site_fract_z
Ba1 Ba 0.000 0.250 0.375
Be1 Be 0.000 0.250 0.875
Tc1 Tc 0.000 0.000 0.000
# - DFT formation energy: 0.907 eV/atom



# TeWSN2 PBE relaxed
data_TeWSN2
_cell_length_a 3.888
_cell_length_b 3.888
_cell_length_c 5.907
_cell_angle_alpha 90.00
_cell_angle_beta 90.00
_cell_angle_gamma 90.00
_space_group_name_H-M_alt 'P 4/m m m'
_space_group_IT_number 123
_space_group_name_Hall '-P 4 2'
loop_
_atom_site_label
_atom_site_type_symbol
_atom_site_fract_x
_atom_site_fract_y
_atom_site_fract_z
Te1 Te 0.000 0.000 0.000
W1 W 0.000 0.000 0.500
S1 S 0.500 0.500 0.000
N1 N 0.000 0.500 0.500
# - Distance to the lowest polymorph of the same formula: 0 meV/atom
# - Formation energy (no corrections): 0.499 eV/atom



# BaZn2Te PBE relaxed
data_BaZn2Te
_cell_length_a 6.688
_cell_length_b 12.851
_cell_length_c 4.760
_cell_angle_alpha 90.00
_cell_angle_beta 134.49
_cell_angle_gamma 90.00
_space_group_name_H-M_alt 'C 1 2/m 1'
_space_group_IT_number 12
_space_group_name_Hall '-C 2y'
loop_
_atom_site_label
_atom_site_type_symbol
_atom_site_fract_x
_atom_site_fract_y
_atom_site_fract_z
Ba1 Ba 0.000 0.000 0.000
Zn1 Zn 0.250 0.250 0.000
Te1 Te 0.000 0.500 0.000
# - Formation energy (no corrections): -0.347 eV/atom